(1)
The following is a PBE-GGA calculation of an optimized crystal structure of Y3ZnS6, from Alexandria via LeMat-Bulk.

Computed properties:
formation energy without anion corrections	-1.6122	eV per atom
SG	Cmc2_1 (36)

Cell lengths 6.3019, 8.6576, 8.6576 Å; angles 102.59, 90.00, 90.00 degrees
Closest atoms and distances in Å follow each position.
Fractional coordinates of all 20 atoms:
Y 0.4761 0.9260 0.7157  7 S 2.75-2.98
Y 0.9761 0.7157 0.9260  7 S 2.75-2.98
Y 0.9761 0.0740 0.2843  7 S 2.75-2.98
Y 0.4761 0.2843 0.0740  7 S 2.75-2.98
Y 0.8998 0.6112 0.3888  7 S 2.78-2.82
Y 0.3998 0.3888 0.6112  7 S 2.78-2.82
S 0.1883 0.6812 0.6412  4 Y 2.76-2.82
S 0.2008 0.0953 0.5642  1 Zn 2.34
S 0.7008 0.5642 0.0953  1 Zn 2.34
S 0.6706 0.9646 0.0354  1 Zn 2.38
S 0.7008 0.9047 0.4358  1 Zn 2.34
S 0.2008 0.4358 0.9047  1 Zn 2.34
S 0.1706 0.0354 0.9646  1 Zn 2.38
S 0.6883 0.3188 0.3588  4 Y 2.76-2.82
S 0.6883 0.6412 0.6812  4 Y 2.76-2.82
S 0.6617 0.2207 0.7793  1 Zn 2.30
S 0.1883 0.3588 0.3188  4 Y 2.76-2.82
S 0.1617 0.7793 0.2207  1 Zn 2.30
Zn 0.0231 0.1976 0.8024  4 S 2.30-2.38
Zn 0.5231 0.8024 0.1976  4 S 2.30-2.38


(2)
The following is a PBE-GGA calculation of an optimized crystal structure of Ce2Pm3NpP6, from Alexandria via LeMat-Bulk.

Computed properties:
total energy	-7.3848	eV per atom
SG	C2/m (12)

Cell lengths 4.0825, 8.1822, 9.1444 Å; angles 103.09, 102.90, 90.00 degrees
Closest atoms and distances in Å follow each position.
Fractional coordinates of all 12 atoms:
P 0.0004 0.2401 0.0007  2 Np 2.83, 1 Ce 2.87, 3 Pm 2.91-2.95
P 0.3368 0.9154 0.6736  1 Np 2.83, 2 Ce 2.87, 3 Pm 2.91-2.94
P 0.6632 0.0846 0.3264  1 Np 2.83, 2 Ce 2.87, 3 Pm 2.91-2.94
P 0.9996 0.7599 0.9993  2 Np 2.83, 1 Ce 2.87, 3 Pm 2.91-2.95
P 0.6683 0.5799 0.3365  3 Ce 2.87-2.88, 3 Pm 2.91-2.92
P 0.3317 0.4201 0.6635  3 Ce 2.87-2.88, 3 Pm 2.91-2.92
Pm 0.5000 0.5000 0.0000  6 P 2.92-2.95
Pm 0.1676 0.8333 0.3351  6 P 2.91-2.94
Pm 0.8324 0.1667 0.6649  6 P 2.91-2.94
Np 0.5000 0.0000 0.0000  6 P 2.83
Ce 0.8344 0.6683 0.6689  6 P 2.87-2.88
Ce 0.1656 0.3317 0.3311  6 P 2.87-2.88


(3)
The following is a PBE-GGA calculation of an optimized crystal structure of K2LaZn, from Alexandria via LeMat-Bulk.

Computed properties:
energy relative to the lowest polymorph listed for this composition	218	meV per atom
SG	Imm2 (44)

Cell lengths 8.0846, 8.0846, 8.0846 Å; angles 153.38, 130.46, 57.12 degrees
Closest atoms and distances in Å follow each position.
Fractional coordinates of all 4 atoms:
K 0.7495 0.2495 0.5000  2 K 3.72, 4 Zn 3.87
K 0.0560 0.0560 0.0000  2 Zn 3.51, 2 K 3.72
Zn 0.2652 0.7652 0.5000  2 La 2.98
La 0.4294 0.4294 0.0000  2 Zn 2.98


(4)
The following is a PBE-GGA calculation of an optimized crystal structure of CsHfAl, from Alexandria via LeMat-Bulk.

Computed properties:
energy relative to the lowest polymorph listed for this composition	16	meV per atom
SG	P1 (1)

Cell lengths 26.2777, 5.7511, 5.7499 Å; angles 119.76, 116.96, 63.58 degrees
Closest atoms and distances in Å follow each position.
Fractional coordinates of all 12 atoms:
Cs 0.6134 0.8773 0.2157  12 Cs 5.38-5.77
Cs 0.8030 0.2962 0.8158  12 Cs 5.38-5.85
Cs 0.4155 0.4630 0.5690  1 Al 3.75
Cs 0.0023 0.6579 0.3415  1 Al 3.52
Al 0.1406 0.0008 0.4883  5 Al 2.85-2.95, 3 Hf 2.87-3.02
Al 0.2485 0.6707 0.3216  7 Hf 2.78-2.97, 2 Al 2.90
Al 0.1410 0.4951 0.9842  5 Al 2.84-2.96, 3 Hf 2.86-3.02
Al 0.1577 0.4824 0.5025  4 Al 2.84-2.96, 5 Hf 2.87-3.00
Hf 0.1562 0.9800 0.0048  7 Al 2.78-2.93, 2 Hf 3.04
Hf 0.2550 0.1662 0.8263  5 Al 2.87-3.02, 4 Hf 2.89-2.91
Hf 0.2711 0.6449 0.8476  3 Al 2.87-3.00, 5 Hf 2.88-3.04
Hf 0.2710 0.1467 0.3483  3 Al 2.87-2.99, 5 Hf 2.88-3.04


The following spin magnetization values (in μB per cell) correspond, in order, to the records above: 0.00, 4.75, 0.00, 0.00.
The following Fermi-level density of states values (in states/eV per atom) correspond, in order, to the records above: 0.62, 1.54, 0.92, 0.83.